The following is a PBE with a Hubbard U calculation of a relaxed structure of BaCoS2O8, from Alexandria via LeMat-Bulk.

The structure in extended XYZ format:
```
12
Lattice="2.476 1.430 7.509 -2.476 1.430 7.509 0.000 -2.859 7.509" Properties=species:S:1:pos:R:3 pbc="T T T"
Ba 0.000 0.000 0.000
Co 0.000 0.000 11.264
S 0.000 0.000 5.457
S 0.000 0.000 17.071
O -1.689 -0.245 10.006
O -0.633 -1.586 12.522
O 0.000 0.000 6.959
O -1.057 1.341 12.522
O 1.057 -1.341 10.006
O 0.000 0.000 15.569
O 0.632 1.586 10.006
O 1.689 0.245 12.522
```

Results
Symmetry ... R-3, No. 148
E ... -6.340 eV/atom